1.
The following is a PBE calculation of a relaxed Ca2TlPtN crystal, from Alexandria via LeMat-Bulk.

M_tot: 0.00 μB/cell
Formation energy without anion corrections: -0.522 eV/atom
Fermi-level density of states: 0.74 states/eV/atom

a = 5.1325 Å, b = 5.1325 Å, c = 3.9601 Å
α = 90.00°, β = 90.00°, γ = 90.00°
With the nearest neighbours (Å) after each atom.
Positions (direct):
Tl 0.5000 0.5000 0.5000  8 Ca 3.24, 4 Pt 3.63
Ca 0.0000 0.5000 0.0000  2 N 2.57
Ca 0.5000 0.0000 0.0000  2 N 2.57
Pt 0.0000 0.0000 0.5000  2 N 1.98
N 0.0000 0.0000 0.0000  2 Pt 1.98

2.
The following is a PBE calculation of a relaxed TiAl crystal, from Alexandria via LeMat-Bulk.

E_form: 0.325 eV/atom
M_tot: 5.23 μB/cell
Fermi-level density of states: 1.08 states/eV/atom

a = 9.3655 Å, b = 9.3655 Å, c = 4.6916 Å
α = 90.00°, β = 90.00°, γ = 90.00°
With the nearest neighbours (Å) after each atom.
Positions (direct):
Ti 0.9068 0.4068 0.0000  1 Ti 2.47, 2 Al 2.72
Ti 0.9068 0.5932 0.5000  1 Ti 2.47, 2 Al 2.72
Ti 0.0932 0.4068 0.5000  1 Ti 2.47, 2 Al 2.72
Ti 0.0932 0.5932 0.0000  1 Ti 2.47, 2 Al 2.72
Ti 0.5932 0.0932 0.5000  1 Ti 2.47, 2 Al 2.72
Ti 0.5932 0.9068 0.0000  1 Ti 2.47, 2 Al 2.72
Ti 0.4068 0.0932 0.0000  1 Ti 2.47, 2 Al 2.72
Ti 0.4068 0.9068 0.5000  1 Ti 2.47, 2 Al 2.72
Al 0.6972 0.1972 0.0000  5 Ti 2.72-2.89, 2 Al 2.73
Al 0.6972 0.8028 0.5000  5 Ti 2.72-2.89, 2 Al 2.73
Al 0.3028 0.1972 0.5000  5 Ti 2.72-2.89, 2 Al 2.73
Al 0.3028 0.8028 0.0000  5 Ti 2.72-2.89, 2 Al 2.73
Al 0.8028 0.3028 0.5000  5 Ti 2.72-2.89, 2 Al 2.73
Al 0.8028 0.6972 0.0000  5 Ti 2.72-2.89, 2 Al 2.73
Al 0.1972 0.3028 0.0000  5 Ti 2.72-2.89, 2 Al 2.73
Al 0.1972 0.6972 0.5000  5 Ti 2.72-2.89, 2 Al 2.73

3.
The following is a PBE calculation of a relaxed CdSn2Ir crystal, from Alexandria via LeMat-Bulk.

E_form: -0.026 eV/atom
M_tot: 0.00 μB/cell
Fermi-level density of states: 0.33 states/eV/atom

a = 3.1082 Å, b = 4.3851 Å, c = 13.5683 Å
α = 90.00°, β = 90.00°, γ = 90.00°
With the nearest neighbours (Å) after each atom.
Positions (direct):
Ir 0.5000 0.0000 0.9255  5 Sn 2.69-2.71, 2 Cd 2.93
Ir 0.5000 0.5000 0.4255  5 Sn 2.69-2.71, 2 Cd 2.93
Sn 0.5000 0.0000 0.7255  1 Ir 2.71
Sn 0.5000 0.5000 0.2255  1 Ir 2.71
Sn 0.0000 0.0000 0.4217  4 Ir 2.69
Sn 0.0000 0.5000 0.9217  4 Ir 2.69
Cd 0.0000 0.0000 0.1085  2 Ir 2.93, 2 Cd 3.11, 4 Sn 3.12
Cd 0.0000 0.5000 0.6085  2 Ir 2.93, 2 Cd 3.11, 4 Sn 3.12

4.
The following is a PBE calculation of a relaxed PuMgGaHg crystal, from Alexandria via LeMat-Bulk.

E_form: -0.242 eV/atom
M_tot: 5.44 μB/cell
Fermi-level density of states: 2.61 states/eV/atom

a = 5.0394 Å, b = 5.0394 Å, c = 5.0394 Å
α = 60.00°, β = 60.00°, γ = 60.00°
With the nearest neighbours (Å) after each atom.
Positions (direct):
Mg 0.7500 0.7500 0.7500  4 Hg 3.09, 4 Ga 3.09
Hg 0.5000 0.5000 0.5000  4 Mg 3.09, 4 Pu 3.09
Ga 0.0000 0.0000 0.0000  4 Mg 3.09, 4 Pu 3.09
Pu 0.2500 0.2500 0.2500  4 Hg 3.09, 4 Ga 3.09

5.
The following is a PBE calculation of a relaxed Y4Ir3Rh crystal, from Alexandria via LeMat-Bulk.

E_form: -0.802 eV/atom
M_tot: 0.00 μB/cell
Fermi-level density of states: 0.49 states/eV/atom

a = 4.9275 Å, b = 6.6857 Å, c = 9.8540 Å
α = 90.00°, β = 90.00°, γ = 90.00°
With the nearest neighbours (Å) after each atom.
Positions (direct):
Y 0.5000 0.7510 0.0000  6 Ir 2.97-2.98, 2 Rh 2.98, 1 Y 3.33
Y 0.5000 0.7510 0.5000  6 Ir 2.97-2.98, 2 Rh 2.98, 1 Y 3.33
Y 0.5000 0.2490 0.0000  6 Ir 2.97-2.98, 2 Rh 2.98, 1 Y 3.33
Y 0.5000 0.2490 0.5000  6 Ir 2.97-2.98, 2 Rh 2.98, 1 Y 3.33
Y 0.9999 0.7510 0.7500  6 Ir 2.97-2.98, 2 Rh 2.98, 1 Y 3.33
Y 0.0001 0.7510 0.2500  6 Ir 2.97-2.98, 2 Rh 2.98, 1 Y 3.33
Y 0.0001 0.2490 0.2500  6 Ir 2.97-2.98, 2 Rh 2.98, 1 Y 3.33
Y 0.9999 0.2490 0.7500  6 Ir 2.97-2.98, 2 Rh 2.98, 1 Y 3.33
Ir 0.0000 0.0000 0.0000  8 Y 2.97
Ir 0.0000 0.0000 0.5000  8 Y 2.97
Ir 0.4998 0.0000 0.7500  8 Y 2.97
Ir 0.5002 0.0000 0.2500  8 Y 2.97
Ir 0.4998 0.5000 0.7500  8 Y 2.98
Ir 0.5002 0.5000 0.2500  8 Y 2.98
Rh 0.0000 0.5000 0.0000  8 Y 2.98
Rh 0.0000 0.5000 0.5000  8 Y 2.98

6.
The following is a PBE calculation of a relaxed AcEuEr2 crystal, from Alexandria via LeMat-Bulk.

E_form: 0.147 eV/atom
Energy above the lowest structure with this stoichiometry: 44 meV/atom
M_tot: 7.17 μB/cell
Fermi-level density of states: 1.52 states/eV/atom

a = 5.9031 Å, b = 5.9031 Å, c = 5.9031 Å
α = 60.00°, β = 60.00°, γ = 60.00°
With the nearest neighbours (Å) after each atom.
Positions (direct):
Eu 0.0000 0.0000 0.0000  8 Er 3.61
Ac 0.5000 0.5000 0.5000  8 Er 3.61
Er 0.2500 0.2500 0.2500  4 Ac 3.61, 4 Eu 3.61
Er 0.7500 0.7500 0.7500  4 Ac 3.61, 4 Eu 3.61